This record from the Alexandria database describes a relaxed AcCoRu2O8 crystal. The functional is PBE with a Hubbard U.

a b c (Å): 5.1501 5.1501 7.0460
angles (deg): 90.00 90.00 120.00
Space group P-3 (No. 147)
Asymmetric unit:
1 Ac 0.0000 0.0000 0.0000 [1 per cell]
2 Co 0.0000 0.0000 0.5000 [1 per cell]
3 Ru 0.3333 0.6667 0.6994 [2 per cell]
4 O 0.0076 0.2908 0.6759 [6 per cell]
5 O 0.3333 0.6667 0.9635 [2 per cell]

DOS at the Fermi energy: 3.814 states/eV/f.u.
DFT total energy: -82.5 eV per cell
V: 13.5 A^3/atom